# 1
KTcAg2: optimized geometry, PBEsol.

a b c (Å): 2.7228 2.7228 9.9718
angles (deg): 90.00 90.00 90.00
Atoms (fractional coordinates):
Ag: 0.0000 0.0000 0.9963
Ag: 0.5000 0.5000 0.2141
Tc: 0.5000 0.5000 0.7840
K: 0.0000 0.0000 0.5056

Calculated values
Energy of formation from the pure elements   0.708 eV per atom

# 2
LaY2MgTc: optimized geometry, PBEsol.

a b c (Å): 4.6652 5.4669 5.4669
angles (deg): 90.00 90.00 90.00
Atoms (fractional coordinates):
Mg: 0.5000 0.5000 0.5000
Tc: 0.5000 0.0000 0.0000
Y: 0.0000 0.5000 0.0000
Y: 0.0000 0.0000 0.5000
La: 0.0000 0.0000 0.0000

Calculated values
Energy of formation from the pure elements   0.935 eV per atom

# 3
PdPb4Au: optimized geometry, PBEsol.

a b c (Å): 5.7614 5.7578 5.7578
angles (deg): 75.50 59.98 59.98
Atoms (fractional coordinates):
Au: 0.0000 0.0000 0.0000
Pd: 0.5000 0.0000 0.0000
Pb: 0.0895 0.5000 0.8210
Pb: 0.9105 0.1790 0.5000
Pb: 0.5895 0.8210 0.5000
Pb: 0.4105 0.5000 0.1790

Calculated values
Energy of formation from the pure elements   -0.133 eV per atom

# 4
POsSF2: optimized geometry, PBEsol.

a b c (Å): 3.5498 3.5498 6.3954
angles (deg): 90.00 90.00 90.00
Site moments in Bohr magnetons follow the coordinates.
Atoms (fractional coordinates):
S: 0.0000 0.0000 0.0000  -0.02
F: 0.0000 0.5000 0.0000  0.00
F: 0.5000 0.0000 0.0000  0.00
P: 0.0000 0.0000 0.5000  -0.02
Os: 0.5000 0.5000 0.5000  1.04

Calculated values
ΔE_f (raw)   2.134 eV/f.u.

# 5
Na2SnHg2: optimized geometry, PBEsol.

a b c (Å): 4.1504 7.7466 7.7466
angles (deg): 90.00 90.00 90.00
Atoms (fractional coordinates):
Sn: 0.0000 0.0000 0.0000
Sn: 0.0000 0.5000 0.5000
Hg: 0.0000 0.6320 0.1320
Hg: 0.0000 0.1320 0.3680
Hg: 0.0000 0.8680 0.6320
Hg: 0.0000 0.3680 0.8680
Na: 0.5000 0.3307 0.1693
Na: 0.5000 0.6693 0.8307
Na: 0.5000 0.1693 0.6693
Na: 0.5000 0.8307 0.3307

Calculated values
Energy of formation from the pure elements   -0.183 eV per atom

# 6
KFe2Cu: optimized geometry, PBEsol.

a b c (Å): 2.6440 2.6440 9.9091
angles (deg): 82.33 82.33 60.00
Site moments in Bohr magnetons follow the coordinates.
Atoms (fractional coordinates):
Fe: 0.2644 0.2644 0.2067  2.59
Fe: 0.7356 0.7356 0.7933  2.59
Cu: 0.0000 0.0000 0.0000  0.10
K: 0.5000 0.5000 0.5000  -0.09

Calculated values
Energy of formation from the pure elements   0.925 eV per atom

# 7
Zn3Fe: optimized geometry, PBEsol.

a b c (Å): 4.4066 5.4040 8.5675
angles (deg): 90.00 90.00 90.00
Site moments in Bohr magnetons follow the coordinates.
Atoms (fractional coordinates):
Fe: 0.3773 0.1386 0.2500  2.09
Fe: 0.8773 0.3614 0.2500  2.09
Fe: 0.1227 0.6386 0.7500  2.09
Fe: 0.6227 0.8614 0.7500  2.09
Zn: 0.2427 0.3778 0.4949  -0.02
Zn: 0.2427 0.3778 0.0051  -0.02
Zn: 0.7573 0.6222 0.5051  -0.02
Zn: 0.3976 0.6242 0.2500  -0.04
Zn: 0.6024 0.3758 0.7500  -0.04
Zn: 0.2573 0.8778 0.5051  -0.02
Zn: 0.1024 0.1242 0.7500  -0.04
Zn: 0.7427 0.1222 0.0051  -0.02
Zn: 0.2573 0.8778 0.9949  -0.02
Zn: 0.7427 0.1222 0.4949  -0.02
Zn: 0.8976 0.8758 0.2500  -0.04
Zn: 0.7573 0.6222 0.9949  -0.02

Calculated values
Energy of formation from the pure elements   0.011 eV per atom

# 8
ZrTa2Ru: optimized geometry, PBEsol.

a b c (Å): 3.2146 4.5221 5.5012
angles (deg): 114.27 106.99 90.00
Atoms (fractional coordinates):
Zr: 0.5000 0.0000 0.0000
Ta: 0.7386 0.7386 0.4771
Ta: 0.2614 0.2614 0.5229
Ru: 0.0000 0.5000 0.0000

Calculated values
Energy of formation from the pure elements   -0.260 eV per atom

| no. | volume (Å³/cell) |
| --- | --- |
| 1 | 73.93 |
| 2 | 139.43 |
| 3 | 143.19 |
| 4 | 80.59 |
| 5 | 249.06 |
| 6 | 59.27 |
| 7 | 204.02 |
| 8 | 69.06 |